Entry 1:
Computed, not measured: LaPuAs2Pt2 after structural relaxation at the PBE level of DFT.

Computed properties:
Its crystal system is trigonal. Its density of states at the Fermi level is 12.80 states/eV/f.u. For the total DFT energy (no corrections), the calculation gives -7.88 eV per atom.

Unit cell a=4.3474 b=4.3474 c=8.0186 alpha=90.00 beta=90.00 gamma=120.00
Space group P-3m1 (No. 164)
Asymmetric unit:
La 0.0000 0.0000 0.0000 [1 per cell]
Pu 0.0000 0.0000 0.5000 [1 per cell]
As 0.3333 0.6667 0.2470 [2 per cell]
Pt 0.3333 0.6667 0.7303 [2 per cell]

Entry 2:
Computed, not measured: LaAsPtRh after structural relaxation at the PBE level of DFT.

Computed properties:
Its crystal system is tetragonal. Its density of states at the Fermi level is 2.34 states/eV/f.u. For the total DFT energy (no corrections), the calculation gives -6.69 eV per atom.

Unit cell a=4.061 b=4.061 c=9.905 alpha=90.00 beta=90.00 gamma=90.00
Space group P4/nmm (No. 129, origin choice 2)
Asymmetric unit:
La 0.250 0.250 0.215 [2 per cell]
As 0.250 0.250 0.644 [2 per cell]
Pt 0.250 0.250 0.906 [2 per cell]
Rh 0.250 0.750 0.500 [2 per cell]